1.
This record from the Alexandria database describes a geometry-optimized Pu4GeSe3 structure. The functional is PBE.

Structure (POSCAR):
```
Pu4GeSe3
1.0
4.159 -5.893 0.000
4.159 5.893 0.000
0.000 0.000 4.137
Pu Ge Se
4 1 3
Cartesian
4.159 2.980 0.000 Pu
2.080 0.000 2.068 Pu
6.238 0.000 2.068 Pu
4.159 -2.980 0.000 Pu
0.000 0.000 0.000 Ge
2.079 2.946 2.068 Se
2.079 -2.946 2.068 Se
4.159 0.000 0.000 Se
```

Values from the calculation:
energy above the lowest structure with this stoichiometry: 30 meV/atom

---

2.
This record from the Alexandria database describes a geometry-optimized Pu5GeSe5 structure. The functional is PBE.

Structure (POSCAR):
```
Pu5GeSe5
1.0
6.564 -2.921 0.000
6.564 2.921 0.000
-2.710 0.000 7.915
Pu Ge Se
5 1 5
Cartesian
0.000 0.000 0.000 Pu
2.599 0.000 5.257 Pu
3.960 0.000 1.348 Pu
6.458 0.000 6.566 Pu
7.820 0.000 2.658 Pu
6.564 0.000 0.000 Ge
-0.062 0.000 6.661 Se
1.359 0.000 2.640 Se
5.209 0.000 3.957 Se
9.060 0.000 5.275 Se
10.481 0.000 1.254 Se
```

---

3.
This record from the Alexandria database describes a geometry-optimized PuGe2Se6 structure. The functional is PBE.

Structure (POSCAR):
```
PuGe2Se6
1.0
6.511 -6.009 0.000
6.511 6.009 0.000
-1.002 0.000 6.612
Pu Ge Se
2 4 12
Cartesian
5.759 4.688 4.959 Pu
6.260 -4.688 1.653 Pu
3.315 0.895 4.474 Ge
3.816 -0.895 1.168 Ge
8.203 0.895 5.444 Ge
8.704 -0.895 2.138 Ge
0.875 1.005 4.266 Se
3.886 2.814 5.747 Se
1.377 -1.005 0.960 Se
4.486 1.073 2.381 Se
7.633 2.814 4.170 Se
3.985 -1.073 5.687 Se
8.034 1.073 0.925 Se
4.387 -2.814 2.442 Se
7.533 -1.073 4.231 Se
10.643 1.005 5.652 Se
8.134 -2.814 0.864 Se
11.144 -1.005 2.346 Se
```

---

4.
This record from the Alexandria database describes a geometry-optimized Sr2PuGeSe5 structure. The functional is PBE.

Structure (POSCAR):
```
Sr2PuGeSe5
1.0
2.186 -9.348 0.000
2.186 9.348 0.000
0.000 0.000 12.524
Sr Pu Ge Se
4 2 2 10
Cartesian
2.186 7.139 6.262 Sr
2.186 7.099 1.783 Sr
2.186 -7.099 8.045 Sr
2.186 -7.139 0.000 Sr
2.186 5.486 10.533 Pu
2.186 -5.486 4.271 Pu
2.186 1.059 3.235 Ge
2.186 -1.059 9.497 Ge
2.186 8.535 10.658 Se
2.186 3.832 6.180 Se
2.186 3.395 2.284 Se
2.186 2.645 10.314 Se
2.186 -0.007 1.067 Se
2.186 0.007 7.329 Se
2.186 -2.645 4.052 Se
2.186 -3.395 8.546 Se
2.186 -3.832 12.442 Se
2.186 -8.535 4.396 Se
```

---

5.
This record from the Alexandria database describes a geometry-optimized Pu4GeTeSe2 structure. The functional is PBE.

Structure (POSCAR):
```
Pu4GeTeSe2
1.0
7.335 0.000 0.000
0.000 4.201 0.000
-2.452 0.000 6.941
Pu Ge Te Se
4 1 1 2
Cartesian
1.188 0.000 1.615 Pu
-0.065 2.100 5.246 Pu
4.948 2.100 1.695 Pu
3.695 0.000 5.326 Pu
3.667 0.000 0.000 Ge
2.441 2.100 3.470 Te
-1.226 0.000 3.470 Se
0.000 2.100 0.000 Se
```

---

6.
This record from the Alexandria database describes a geometry-optimized PuTl2GeSe4 structure. The functional is PBE.

Structure (POSCAR):
```
PuTl2GeSe4
1.0
7.263 0.000 0.000
0.000 4.186 0.000
-2.354 0.000 7.561
Pu Tl Ge Se
1 2 1 4
Cartesian
0.000 0.000 0.000 Pu
-1.177 2.093 3.781 Tl
2.455 0.000 3.781 Tl
3.632 2.093 0.000 Ge
1.223 2.093 1.509 Se
0.027 0.000 6.070 Se
4.882 0.000 1.491 Se
3.687 2.093 6.052 Se
```

---

7.
This record from the Alexandria database describes a geometry-optimized Pu3Tl3GeSe8 structure. The functional is PBE.

Structure (POSCAR):
```
Pu3Tl3GeSe8
1.0
4.183 2.415 7.682
-4.183 2.415 7.682
0.000 -4.830 7.682
Pu Tl Ge Se
3 3 1 8
Cartesian
-2.091 -1.207 7.682 Pu
-2.091 1.207 15.365 Pu
0.000 2.415 7.682 Pu
-4.183 0.000 11.523 Tl
-2.091 1.207 3.841 Tl
2.091 1.207 3.841 Tl
0.000 0.000 0.000 Ge
0.000 -2.411 9.174 Se
-2.088 1.206 9.174 Se
0.000 0.000 6.117 Se
-2.088 -1.206 13.873 Se
2.088 1.206 9.174 Se
0.000 0.000 16.930 Se
2.088 -1.206 13.873 Se
0.000 2.411 13.873 Se
```

---

8.
This record from the Alexandria database describes a geometry-optimized TmPuGeSe structure. The functional is PBE.

Structure (POSCAR):
```
TmPuGeSe
1.0
2.061 1.190 6.713
-2.061 1.190 6.713
0.000 -2.380 6.713
Tm Pu Ge Se
1 1 1 1
Cartesian
0.000 0.000 0.000 Tm
0.000 0.000 9.979 Pu
0.000 0.000 15.042 Ge
0.000 0.000 5.018 Se
```

---

9.
This record from the Alexandria database describes a geometry-optimized PuSi2Ge structure. The functional is PBE.

Structure (POSCAR):
```
PuSi2Ge
1.0
3.515 0.000 0.000
0.000 3.515 0.000
0.000 0.000 5.990
Pu Si Ge
1 2 1
Cartesian
0.000 0.000 0.000 Pu
1.757 1.757 1.789 Si
1.757 1.757 4.201 Si
0.000 0.000 2.995 Ge
```

Values from the calculation:
energy above the lowest structure with this stoichiometry: 196 meV/atom

---

10.
This record from the Alexandria database describes a geometry-optimized Pu2SiGe2 structure. The functional is PBE.

Structure (POSCAR):
```
Pu2SiGe2
1.0
6.914 0.000 0.000
0.000 6.914 0.000
0.000 0.000 4.422
Pu Si Ge
4 2 4
Cartesian
1.201 2.256 0.000 Pu
2.256 5.713 0.000 Pu
4.659 1.201 0.000 Pu
5.713 4.659 0.000 Pu
0.000 0.000 2.211 Si
3.457 3.457 2.211 Si
0.906 4.363 2.211 Ge
2.551 0.906 2.211 Ge
4.363 6.008 2.211 Ge
6.008 2.551 2.211 Ge
```

---

11.
This record from the Alexandria database describes a geometry-optimized Pu3Si2Ge2 structure. The functional is PBE.

Structure (POSCAR):
```
Pu3Si2Ge2
1.0
-1.990 2.094 9.014
1.990 -2.094 9.014
1.990 2.094 -9.014
Pu Si Ge
3 2 2
Cartesian
0.000 0.000 0.000 Pu
1.990 0.000 3.351 Pu
0.000 2.094 5.663 Pu
0.000 0.000 7.863 Si
0.000 0.000 10.165 Si
1.990 0.000 6.423 Ge
0.000 2.094 2.591 Ge
```

Values from the calculation:
energy above the lowest structure with this stoichiometry: 0 meV/atom

---

12.
This record from the Alexandria database describes a geometry-optimized Pu3Si3Ge structure. The functional is PBE.

Structure (POSCAR):
```
Pu3Si3Ge
1.0
5.155 -2.098 0.000
5.155 2.098 0.000
-3.673 0.000 12.708
Pu Si Ge
6 6 2
Cartesian
-0.594 0.000 5.101 Pu
-2.269 0.000 11.391 Pu
0.398 0.000 8.752 Pu
6.239 0.000 3.956 Pu
8.906 0.000 1.317 Pu
7.230 0.000 7.607 Pu
2.320 0.000 5.620 Si
0.654 0.000 11.891 Si
3.398 0.000 3.426 Si
3.239 0.000 9.282 Si
5.983 0.000 0.817 Si
4.317 0.000 7.087 Si
1.550 0.000 1.834 Ge
5.087 0.000 10.874 Ge
```

---

13.
This record from the Alexandria database describes a geometry-optimized Pu3Si2Ge2 structure. The functional is PBE.

Structure (POSCAR):
```
Pu3Si2Ge2
1.0
-1.817 2.309 9.830
1.817 -2.309 9.830
1.817 2.309 -9.830
Pu Si Ge
3 2 2
Cartesian
0.000 0.000 0.000 Pu
1.817 0.000 1.641 Pu
0.000 2.309 8.189 Pu
0.000 0.000 6.409 Si
0.000 0.000 13.250 Si
1.817 0.000 4.639 Ge
0.000 2.309 5.190 Ge
```

Values from the calculation:
energy above the lowest structure with this stoichiometry: 993 meV/atom

---

14.
This record from the Alexandria database describes a geometry-optimized Pu12Si5Ge structure. The functional is PBE.

Structure (POSCAR):
```
Pu12Si5Ge
1.0
-4.505 4.571 4.982
4.505 -4.571 4.982
4.505 4.571 -4.982
Pu Si Ge
12 5 1
Cartesian
4.505 -2.510 3.183 Pu
2.671 0.000 2.477 Pu
6.339 0.000 2.477 Pu
2.841 2.409 0.000 Pu
6.169 2.409 0.000 Pu
0.000 2.061 1.799 Pu
4.505 2.510 3.183 Pu
-1.664 2.162 4.982 Pu
1.664 2.162 4.982 Pu
-1.834 4.571 2.505 Pu
1.834 4.571 2.505 Pu
0.000 7.081 1.799 Pu
1.174 0.000 0.000 Si
4.505 0.000 0.000 Si
7.836 0.000 0.000 Si
0.000 0.000 3.781 Si
0.000 0.000 6.182 Si
0.000 4.571 0.000 Ge
```

---

15.
This record from the Alexandria database describes a geometry-optimized PuSiGe structure. The functional is PBE.

Structure (POSCAR):
```
PuSiGe
1.0
4.218 0.000 0.000
-2.109 3.653 0.000
0.000 0.000 3.868
Pu Si Ge
1 1 1
Cartesian
0.000 0.000 0.000 Pu
2.109 1.218 1.934 Si
0.000 2.435 1.934 Ge
```

Values from the calculation:
energy above the lowest structure with this stoichiometry: 13 meV/atom

---

16.
This record from the Alexandria database describes a geometry-optimized Pu12SiGe5 structure. The functional is PBE.

Structure (POSCAR):
```
Pu12SiGe5
1.0
-4.666 4.724 4.840
4.666 -4.724 4.840
4.666 4.724 -4.840
Pu Si Ge
12 1 5
Cartesian
4.666 -2.522 3.138 Pu
2.846 0.000 2.500 Pu
6.487 0.000 2.500 Pu
2.921 2.525 0.000 Pu
6.411 2.525 0.000 Pu
0.000 2.203 1.703 Pu
4.666 2.522 3.138 Pu
-1.745 2.200 4.840 Pu
1.745 2.200 4.840 Pu
-1.821 4.724 2.340 Pu
1.821 4.724 2.340 Pu
0.000 7.246 1.703 Pu
0.000 4.724 0.000 Si
1.272 0.000 0.000 Ge
4.666 0.000 0.000 Ge
8.061 0.000 0.000 Ge
0.000 0.000 3.574 Ge
0.000 0.000 6.106 Ge
```

---

17.
This record from the Alexandria database describes a geometry-optimized Pu6SiGe2 structure. The functional is PBE.

Structure (POSCAR):
```
Pu6SiGe2
1.0
8.603 0.000 0.000
-4.301 7.450 0.000
0.000 0.000 3.161
Pu Si Ge
6 1 2
Cartesian
-1.425 2.468 0.000 Pu
-2.876 4.982 0.000 Pu
2.850 0.000 0.000 Pu
1.425 2.468 0.000 Pu
5.753 0.000 0.000 Pu
2.876 4.982 0.000 Pu
0.000 0.000 1.581 Si
0.000 4.967 1.581 Ge
4.301 2.483 1.581 Ge
```

---

18.
This record from the Alexandria database describes a geometry-optimized Pu5Si2Ge structure. The functional is PBE.

Structure (POSCAR):
```
Pu5Si2Ge
1.0
-3.781 3.781 6.513
3.781 -3.781 6.513
3.781 3.781 -6.513
Pu Si Ge
10 4 2
Cartesian
0.000 0.000 0.000 Pu
5.089 1.308 -1.961 Pu
1.308 2.472 -1.961 Pu
5.089 1.308 1.961 Pu
1.308 2.472 1.961 Pu
0.000 0.000 6.513 Pu
2.472 1.308 4.552 Pu
-1.308 2.472 4.552 Pu
2.472 1.308 8.474 Pu
-1.308 2.472 8.474 Pu
2.891 0.890 0.000 Si
2.891 -0.890 6.513 Si
0.890 4.670 0.000 Si
0.890 2.891 6.513 Si
0.000 0.000 3.257 Ge
0.000 0.000 9.770 Ge
```

---

19.
This record from the Alexandria database describes a geometry-optimized Pu3SiGe3 structure. The functional is PBE.

Structure (POSCAR):
```
Pu3SiGe3
1.0
5.342 -2.184 0.000
5.342 2.184 0.000
-3.717 0.000 13.029
Pu Si Ge
6 2 6
Cartesian
-1.248 0.000 5.047 Pu
-2.256 0.000 11.983 Pu
1.551 0.000 2.971 Pu
5.416 0.000 10.058 Pu
9.223 0.000 1.046 Pu
8.215 0.000 7.981 Pu
0.585 0.000 8.082 Si
6.382 0.000 4.946 Si
1.996 0.000 5.924 Ge
0.759 0.000 12.057 Ge
2.396 0.000 10.007 Ge
4.570 0.000 3.022 Ge
6.208 0.000 0.972 Ge
4.970 0.000 7.105 Ge
```

---

20.
This record from the Alexandria database describes a geometry-optimized Pu4SiGe structure. The functional is PBE.

Structure (POSCAR):
```
Pu4SiGe
1.0
-1.802 3.698 4.402
1.802 -3.698 4.402
1.802 3.698 -4.402
Pu Si Ge
4 1 1
Cartesian
1.802 -1.904 2.974 Pu
0.000 1.794 1.428 Pu
1.802 1.904 2.974 Pu
0.000 5.602 1.428 Pu
1.802 0.000 0.000 Si
0.000 0.000 4.402 Ge
```

---

21.
This record from the Alexandria database describes a geometry-optimized PuSiGe structure. The functional is PBE.

Structure (POSCAR):
```
PuSiGe
1.0
4.210 0.000 0.000
-2.105 3.646 0.000
0.000 0.000 7.771
Pu Si Ge
2 2 2
Cartesian
0.000 0.000 0.000 Pu
0.000 0.000 3.885 Pu
0.000 2.430 1.943 Si
2.105 1.215 5.828 Si
0.000 2.430 5.828 Ge
2.105 1.215 1.943 Ge
```

Values from the calculation:
energy above the lowest structure with this stoichiometry: 12 meV/atom

---

no.,ΔE_f (raw) (eV per formula unit),density (g/cm3),final energy (eV/cell)
1,-9.5,10.53,-81.95
2,-13.5,9.23,-107.24
3,-4.2,5.54,-97.42
4,-12.3,5.75,-103.97
5,-8.5,10.36,-80.55
6,-5.5,7.52,-43.13
7,-13.8,7.31,-96.36
8,-4.4,9.49,-31.35
9,-0.4,8.37,-30.24
10,-1.6,10.39,-89.92
11,-3.1,10.31,-66.14
12,-2.7,10.74,-133.13
13,3.9,9.40,-59.19
14,-3.4,12.71,-207.12
15,-1.0,9.60,-25.41
16,-3.0,12.91,-203.45
17,-0.6,13.42,-101.30
18,-2.8,12.03,-179.89
19,-2.7,10.69,-129.89
20,0.2,15.24,-67.20
21,-1.0,9.60,-50.83